[1]
Pr3Mg9Cu2, optimized geometry, DFT GGA-PBE; V = 24.23 Å³/atom; space group = Immm, No. 71; DFT formation energy = -0.046 eV per atom
1.0
4.7708 0.0000 1.2174
2.0727 8.2149 1.8342
0.3367 -0.6516 8.6375
Pr Mg Cu
3 9 2
direct
0.0000 0.0000 0.0000
0.7040 0.2960 0.2960
0.2960 0.7040 0.7040
0.0000 0.5000 0.5000
0.6329 0.0050 0.7292
0.3671 0.9950 0.2708
0.6329 0.7292 0.0050
0.3671 0.2708 0.9950
0.8700 0.8501 0.4100
0.1300 0.1499 0.5900
0.8700 0.4100 0.8501
0.1300 0.5900 0.1499
0.5000 0.3380 0.6620
0.5000 0.6620 0.3380

[2]
WN, optimized geometry, DFT GGA-PBE; V = 10.45 Å³/atom; space group = Fddd, No. 70; energy = -10.531 eV per atom
1.0
8.6700 0.0000 0.0000
0.0000 6.3649 0.0000
0.0000 0.0000 6.0616
W N
16 16
direct
0.0000 0.0000 0.2893
0.0000 0.0000 0.7107
0.2500 0.7500 0.9607
0.2500 0.7500 0.5393
0.0000 0.5000 0.7893
0.0000 0.5000 0.2107
0.2500 0.2500 0.4607
0.2500 0.2500 0.0393
0.5000 0.0000 0.7893
0.5000 0.0000 0.2107
0.7500 0.7500 0.4607
0.7500 0.7500 0.0393
0.5000 0.5000 0.2893
0.5000 0.5000 0.7107
0.7500 0.2500 0.9607
0.7500 0.2500 0.5393
0.0000 0.2183 0.0000
0.0000 0.7817 0.0000
0.2500 0.5317 0.2500
0.2500 0.9683 0.2500
0.0000 0.7183 0.5000
0.0000 0.2817 0.5000
0.2500 0.0317 0.7500
0.2500 0.4683 0.7500
0.5000 0.2183 0.5000
0.5000 0.7817 0.5000
0.7500 0.5317 0.7500
0.7500 0.9683 0.7500
0.5000 0.7183 0.0000
0.5000 0.2817 0.0000
0.7500 0.0317 0.2500
0.7500 0.4683 0.2500

[3]
Th2PdRu, optimized geometry, DFT GGA-PBE; V = 23.91 Å³/atom; space group = P2_1/m, No. 11; DFT formation energy = -0.701 eV per atom
1.0
-2.5435 -3.2743 -0.0784
4.8582 -3.7726 -0.0493
-2.1137 1.4618 7.5188
Th Pd Ru
4 2 2
direct
0.7500 0.2254 0.4442
0.2500 0.7746 0.5558
0.2500 0.7732 0.0788
0.7500 0.2268 0.9212
0.2500 0.3165 0.2037
0.7500 0.6835 0.7963
0.7500 0.7062 0.2941
0.2500 0.2938 0.7059

[4]
CaNbSn2, optimized geometry, DFT GGA-PBE; V = 30.46 Å³/atom; space group = I-42d, No. 122; DFT formation energy = 0.341 eV per atom
1.0
5.0181 0.0000 0.0000
0.0000 5.0181 0.0000
2.5090 2.5090 9.6779
Nb Ca Sn
2 2 4
direct
0.0000 0.0000 0.0000
0.7500 0.2500 0.5000
0.5000 0.5000 0.0000
0.2500 0.7500 0.5000
0.7198 0.1250 0.2500
0.0302 0.6250 0.2500
0.3750 0.2802 0.7500
0.8750 0.9698 0.7500

[5]
Ta2BiCl, optimized geometry, DFT GGA-PBE; V = 19.67 Å³/atom; space group = Fm-3m, No. 225; energy = -6.635 eV per atom
1.0
-0.7682 -3.2288 3.4817
0.9389 1.1322 4.5798
-3.6141 0.6314 3.1109
Cl Bi Ta
1 1 2
direct
0.0000 0.0000 0.0000
0.5000 0.5000 0.5000
0.2500 0.2500 0.2500
0.7500 0.7500 0.7500

[6]
Zn2SiIr, optimized geometry, DFT GGA-PBE; V = 15.08 Å³/atom; space group = Cmmm, No. 65; energy = -4.042 eV per atom
1.0
-1.8039 0.0533 -2.0498
1.5244 -2.2473 0.2913
-6.3475 -3.5936 5.4926
Ir Si Zn
1 1 2
direct
0.5000 0.5000 0.2500
0.5000 0.5000 0.7500
0.0000 0.0000 0.0116
0.0000 0.0000 0.4884

[7]
In2HgPb2, optimized geometry, DFT GGA-PBE; V = 31.21 Å³/atom; space group = P4/mbm, No. 127; DFT formation energy = 0.081 eV per atom
1.0
-7.6680 5.7896 -0.9109
-3.2497 -5.4484 -7.2733
-1.6934 -1.8998 2.1797
Pb Hg In
4 2 4
direct
0.3387 0.8387 0.0000
0.8387 0.6613 0.0000
0.6613 0.1613 0.0000
0.1613 0.3387 0.0000
0.0000 0.0000 0.0000
0.5000 0.5000 0.0000
0.1345 0.6345 0.5000
0.6345 0.8655 0.5000
0.8655 0.3655 0.5000
0.3655 0.1345 0.5000

[8]
Na3LiSb, optimized geometry, DFT GGA-PBE; V = 29.89 Å³/atom; space group = Pm-3m, No. 221; energy = -1.777 eV per atom
1.0
-3.9196 -3.5723 0.1938
3.5400 -3.8313 0.9758
-0.5169 0.8500 5.2128
Sb Li Na
1 1 3
direct
0.5000 0.5000 0.5000
0.0000 0.0000 0.0000
0.0000 0.5000 0.0000
0.0000 0.0000 0.5000
0.5000 0.0000 0.0000

> Which of these has the lowest V?

WN